Entry 1:
Crystalline Sr2ThTc2N6 at its relaxed geometry, computed with PBE-GGA.

abc: 6.028 6.028 7.045
angles: 64.67 64.67 60.00
Sites, in units of the cell vectors:
1 Sr 0.792 0.792 0.625
2 Sr 0.208 0.208 0.375
3 Th 0.000 0.000 0.000
4 Tc 0.403 0.403 0.792
5 Tc 0.597 0.597 0.208
6 N 0.744 0.744 0.271
7 N 0.242 0.744 0.271
8 N 0.744 0.242 0.271
9 N 0.256 0.758 0.729
10 N 0.758 0.256 0.729
11 N 0.256 0.256 0.729

Results
Magnetization = 0.0 μB per formula unit
Formation energy (no corrections) = -623 meV per atom

=====

Entry 2:
Crystalline PuCdAs at its relaxed geometry, computed with PBE-GGA.

abc: 3.103 5.014 5.014
angles: 120.00 90.00 90.00
Sites, in units of the cell vectors:
1 As 0.167 0.000 0.000
2 Cd 0.166 0.333 0.667
3 Pu 0.667 0.667 0.333

Results
Magnetization = 5.6 μB per formula unit

=====

Entry 3:
Crystalline Ho8AlHg2 at its relaxed geometry, computed with PBE-GGA.

abc: 5.168 6.960 9.296
angles: 105.83 106.14 90.00
Sites, in units of the cell vectors:
1 Ho 0.409 0.544 0.819
2 Ho 0.664 0.967 0.329
3 Ho 0.805 0.696 0.610
4 Ho 0.976 0.229 0.953
5 Ho 0.195 0.304 0.390
6 Ho 0.336 0.033 0.671
7 Ho 0.591 0.456 0.181
8 Ho 0.024 0.771 0.047
9 Al 0.500 0.000 0.000
10 Hg 0.814 0.282 0.629
11 Hg 0.186 0.718 0.371

Results
Magnetization = 0.0 μB per formula unit

=====

Number 1: total DFT energy (no corrections) -88.32 eV/cell. Number 2: total DFT energy (no corrections) -20.69 eV/cell. Number 3: total DFT energy (no corrections) -43.45 eV/cell.